Density functional theory data (PBEsol) for AsRuAu2 after structural relaxation.

Lattice parameters (Å, degrees): 2.7445 4.0547 5.8201 90.00 90.00 90.00
Closest atoms and distances in Å follow each position.
Positions (direct):
As  0.0000  0.0000  0.0000  2 As 2.74, 8 Au 2.87, 2 Ru 2.91
Ru  0.0000  0.0000  0.5000  2 Ru 2.74, 8 Au 2.83, 2 As 2.91
Au  0.5000  0.5000  0.2575  4 Au 2.74-3.00, 4 Ru 2.83, 4 As 2.87
Au  0.5000  0.5000  0.7425  4 Au 2.74-3.00, 4 Ru 2.83, 4 As 2.87

DFT formation energy, eV per atom: 0.40
Space-group type: Pmmm, No. 47

Density functional theory data (PBEsol) for As2RuAu after structural relaxation.

Lattice parameters (Å, degrees): 4.4811 4.4811 4.4811 60.00 60.00 60.00
Closest atoms and distances in Å follow each position.
Positions (direct):
As  0.2500  0.2500  0.2500  4 Ru 2.74, 4 Au 2.74
As  0.7500  0.7500  0.7500  4 Ru 2.74, 4 Au 2.74
Ru  0.0000  0.0000  0.0000  8 As 2.74
Au  0.5000  0.5000  0.5000  8 As 2.74

DFT formation energy, eV per atom: 0.32
Space-group type: Fm-3m, No. 225

Density functional theory data (PBEsol) for AsAuS3 after structural relaxation.

Lattice parameters (Å, degrees): 4.6471 4.6471 4.6471 90.00 90.00 90.00
Closest atoms and distances in Å follow each position.
Positions (direct):
As  0.0000  0.0000  0.0000  6 S 2.32
Au  0.5000  0.5000  0.5000  12 S 3.29
S  0.0000  0.0000  0.5000  2 As 2.32
S  0.0000  0.5000  0.0000  2 As 2.32
S  0.5000  0.0000  0.0000  2 As 2.32

Formation energy from raw total energies, eV/atom: 0.790
Space-group type: Pm-3m, No. 221

Density functional theory data (PBEsol) for AsWAu2S after structural relaxation.

Lattice parameters (Å, degrees): 4.6873 4.6873 4.4154 90.00 90.00 90.00
Closest atoms and distances in Å follow each position.
Positions (direct):
As  0.0000  0.0000  0.0000  8 Au 3.22, 4 W 3.31
W  0.5000  0.5000  0.0000  2 S 2.21
Au  0.0000  0.5000  0.5000  2 S 2.34
Au  0.5000  0.0000  0.5000  2 S 2.34
S  0.5000  0.5000  0.5000  2 W 2.21, 4 Au 2.34

Formation energy from raw total energies, eV/atom: 1.037
Space-group type: P4/mmm, No. 123

Density functional theory data (PBEsol) for Sb2AsAu after structural relaxation.

Lattice parameters (Å, degrees): 6.0298 6.0298 6.0298 140.17 140.17 57.59
Closest atoms and distances in Å follow each position.
Positions (direct):
Sb  0.0000  0.0000  0.0000  4 As 2.90
Sb  0.7500  0.2500  0.5000  4 Au 2.90
As  0.5000  0.5000  0.0000  4 Sb 2.90
Au  0.2500  0.7500  0.5000  4 Sb 2.90

Formation energy from raw total energies, eV/atom: 0.263
Space-group type: I-4m2, No. 119

Density functional theory data (PBEsol) for Sb2AsAu after structural relaxation.

Lattice parameters (Å, degrees): 3.9634 5.6613 4.1295 90.00 90.00 90.00
Closest atoms and distances in Å follow each position.
Positions (direct):
Sb  0.0000  0.0000  0.0000  4 As 2.71-3.03, 2 Au 2.83
Sb  0.5000  0.5000  0.4812  2 As 2.83, 4 Au 2.86-2.87
As  0.5000  0.0000  0.4461  6 Sb 2.71-3.03
Au  0.0000  0.5000  0.9790  6 Sb 2.83-2.87

Formation energy from raw total energies, eV/atom: -0.040
Space-group type: Pmm2, No. 25

Density functional theory data (PBEsol) for Sb2AsAu after structural relaxation.

Lattice parameters (Å, degrees): 2.9569 3.9626 8.0152 90.00 90.00 90.00
Closest atoms and distances in Å follow each position.
Positions (direct):
Sb  0.0000  0.0000  0.2416  2 Au 2.77, 2 As 2.87, 2 Sb 2.96
Sb  0.0000  0.0000  0.7584  2 Au 2.77, 2 As 2.87, 2 Sb 2.96
As  0.0000  0.5000  0.5000  4 Sb 2.87, 2 As 2.96
Au  0.0000  0.5000  0.0000  4 Sb 2.77, 2 Au 2.96

Formation energy from raw total energies, eV/atom: 0.028
Space-group type: Pmmm, No. 47

Density functional theory data (PBEsol) for Sb2AsAu after structural relaxation.

Lattice parameters (Å, degrees): 3.1348 3.1348 9.4444 90.00 90.00 109.44
Closest atoms and distances in Å follow each position.
Positions (direct):
Sb  0.0000  0.0000  0.2380  2 Au 2.89, 2 As 3.07, 4 Sb 3.13
Sb  0.0000  0.0000  0.7620  2 Au 2.89, 2 As 3.07, 4 Sb 3.13
As  0.5000  0.5000  0.5000  4 Sb 3.07, 4 As 3.13
Au  0.5000  0.5000  0.0000  4 Sb 2.89, 4 Au 3.13

Formation energy from raw total energies, eV/atom: 0.248
Space-group type: Cmmm, No. 65

Question: What is the formula in the eighth record?
Answer: Sb2AsAu